1.
A PBEsol-optimized structure of AlTl2Cu. Source: the Alexandria database, functional SCAN.

a b c (Å): 5.7342 5.7342 5.7342
angles (deg): 138.25 138.25 60.53
Atoms (fractional coordinates):
Al 0.0000 0.0000 0.0000
Tl 0.2500 0.7500 0.5000
Tl 0.5000 0.5000 0.0000
Cu 0.7500 0.2500 0.5000

- magnetization (μB/f.u.) = 0.0
- formation energy from the elements (meV/atom) = 397
- final energy (eV/atom) = -41.5198


2.
A PBEsol-optimized structure of Y2BeIn. Source: the Alexandria database, functional SCAN.

a b c (Å): 5.9795 5.9795 5.9795
angles (deg): 145.43 131.74 60.71
Atoms (fractional coordinates):
Y 0.0000 0.0000 0.0000
Y 0.7201 0.2201 0.5000
Be 0.4685 0.4685 0.0000
In 0.2907 0.7907 0.5000

- magnetization (μB/f.u.) = 0.0
- formation energy from the elements (meV/atom) = -228
- final energy (eV/atom) = -23.5843


3.
A PBEsol-optimized structure of Co24Re5. Source: the Alexandria database, functional SCAN.

a b c (Å): 7.4452 7.4452 7.4452
angles (deg): 109.47 109.47 109.47
Atoms (fractional coordinates):
Co 0.0000 0.3199 0.6005
Co 0.0000 0.6005 0.3199
Co 0.0000 0.6238 0.8082
Co 0.0000 0.8082 0.6238
Co 0.1844 0.3762 0.3762
Co 0.1918 0.1918 0.8156
Co 0.1918 0.8156 0.1918
Co 0.2806 0.6801 0.6801
Co 0.3199 0.0000 0.6005
Co 0.3199 0.6005 0.0000
Co 0.3762 0.1844 0.3762
Co 0.3762 0.3762 0.1844
Co 0.3995 0.3995 0.7194
Co 0.3995 0.7194 0.3995
Co 0.6005 0.0000 0.3199
Co 0.6005 0.3199 0.0000
Co 0.6238 0.0000 0.8082
Co 0.6238 0.8082 0.0000
Co 0.6801 0.2806 0.6801
Co 0.6801 0.6801 0.2806
Co 0.7194 0.3995 0.3995
Co 0.8082 0.0000 0.6238
Co 0.8082 0.6238 0.0000
Co 0.8156 0.1918 0.1918
Re 0.0000 0.0000 0.0000
Re 0.0000 0.0000 0.3591
Re 0.0000 0.3591 0.0000
Re 0.3591 0.0000 0.0000
Re 0.6409 0.6409 0.6409

- magnetization (μB/f.u.) = 41.6
- formation energy from the elements (meV/atom) = 104
- final energy (eV/atom) = -26.4748


4.
A PBEsol-optimized structure of Sr2ScTc. Source: the Alexandria database, functional SCAN.

a b c (Å): 3.3966 4.8517 6.4881
angles (deg): 90.00 90.00 90.00
Atoms (fractional coordinates):
Sr 0.0000 0.0000 0.2294
Sr 0.0000 0.0000 0.7706
Sc 0.5000 0.5000 0.5000
Tc 0.5000 0.5000 0.0000

- magnetization (μB/f.u.) = 0.7
- formation energy from the elements (meV/atom) = 884
- final energy (eV/atom) = -22.5779


5.
A PBEsol-optimized structure of Al2GeSb. Source: the Alexandria database, functional SCAN.

a b c (Å): 7.2237 7.2237 7.2237
angles (deg): 130.82 130.82 72.10
Atoms (fractional coordinates):
Al 0.0965 0.6250 0.9715
Al 0.3750 0.3465 0.4715
Al 0.6535 0.1250 0.0285
Al 0.8750 0.9035 0.5285
Ge 0.0000 0.0000 0.0000
Ge 0.7500 0.2500 0.5000
Sb 0.2500 0.7500 0.5000
Sb 0.5000 0.5000 0.0000

- magnetization (μB/f.u.) = 0.0
- final energy (eV/atom) = -17.9168


6.
A PBEsol-optimized structure of TaPbF7. Source: the Alexandria database, functional SCAN.

a b c (Å): 4.9010 7.2895 6.7663
angles (deg): 90.00 93.98 90.00
Atoms (fractional coordinates):
Ta 0.0342 0.2500 0.2176
Ta 0.9658 0.7500 0.7824
Pb 0.4832 0.2500 0.6808
Pb 0.5168 0.7500 0.3192
F 0.0928 0.7500 0.5084
F 0.1449 0.7500 0.0524
F 0.1746 0.5278 0.7874
F 0.1746 0.9722 0.7874
F 0.3042 0.0772 0.3606
F 0.3042 0.4228 0.3606
F 0.3344 0.2500 0.0490
F 0.6656 0.7500 0.9510
F 0.6958 0.5772 0.6394
F 0.6958 0.9228 0.6394
F 0.8254 0.0278 0.2126
F 0.8254 0.4722 0.2126
F 0.8551 0.2500 0.9476
F 0.9072 0.2500 0.4916

- magnetization (μB/f.u.) = 0.0
- final energy (eV/atom) = -21.6901